GGA-PBE MnZn7Co4, optimized geometry; formation enthalpy at 0 K = 0.040 eV/atom; energy = -3.84 eV/atom
1.0
-4.819 -1.804 -1.227
-1.188 -0.032 4.367
-6.534 4.633 0.821
Co Zn Mn
4 7 1
Direct
0.500 0.671 0.335
0.500 0.329 0.665
0.746 0.861 0.662
0.254 0.139 0.338
0.993 0.659 0.343
0.500 0.000 0.000
0.747 0.170 0.337
0.264 0.498 0.989
0.736 0.502 0.011
0.253 0.830 0.663
0.007 0.341 0.657
0.000 0.000 0.000